1.
Below is a geometry-optimized CdCuSe2 structure, with properties calculated at the PBE level.

Structure (CIF):
```
data_CdCuSe2
_cell_length_a 3.6271
_cell_length_b 3.7446
_cell_length_c 7.4330
_cell_angle_alpha 90.00
_cell_angle_beta 90.00
_cell_angle_gamma 90.00
_space_group_name_H-M_alt 'P m m m'
_space_group_IT_number 47
loop_
_space_group_symop_operation_xyz
'x,y,z'
'-x,-y,-z'
'-x,-y,z'
'x,y,-z'
'x,-y,-z'
'-x,y,z'
'-x,y,-z'
'x,-y,z'
loop_
_atom_site_label
_atom_site_type_symbol
_atom_site_fract_x
_atom_site_fract_y
_atom_site_fract_z
_atom_site_occupancy
Cd1 Cd 0.0000 0.0000 0.0000 1
Cu1 Cu 0.0000 0.5000 0.5000 1
Se1 Se 0.5000 0.0000 0.5000 1
Se2 Se 0.5000 0.5000 0.0000 1
```



2.
Below is a geometry-optimized CdCuSe2 structure, with properties calculated at the PBE level.

Structure (CIF):
```
data_CdCuSe2
_cell_length_a 3.6248
_cell_length_b 8.5295
_cell_length_c 7.2806
_cell_angle_alpha 90.00
_cell_angle_beta 90.00
_cell_angle_gamma 90.00
_space_group_name_H-M_alt 'C m m m'
_space_group_IT_number 65
_space_group_name_Hall '-C 2 2'
loop_
_atom_site_label
_atom_site_type_symbol
_atom_site_fract_x
_atom_site_fract_y
_atom_site_fract_z
_atom_site_occupancy
Cd1 Cd 0.0000 0.0000 0.0000 1
Cu1 Cu 0.0000 0.0000 0.5000 1
Se1 Se 0.0000 0.5000 0.2797 1
```



3.
Below is a geometry-optimized CdCuSe2 structure, with properties calculated at the PBE level.

Structure (CIF):
```
data_CdCuSe2
_cell_length_a 3.6778
_cell_length_b 6.9540
_cell_length_c 7.3497
_cell_angle_alpha 90.00
_cell_angle_beta 90.00
_cell_angle_gamma 90.00
_space_group_name_H-M_alt 'I m m m'
_space_group_IT_number 71
_space_group_name_Hall '-I 2 2'
loop_
_atom_site_label
_atom_site_type_symbol
_atom_site_fract_x
_atom_site_fract_y
_atom_site_fract_z
_atom_site_occupancy
Cd1 Cd 0.0000 0.0000 0.0000 1
Cu1 Cu 0.0000 0.0000 0.5000 1
Se1 Se 0.0000 0.5000 0.2148 1
```



4.
# CdCu2Se2, relaxed, DFT PBE
data_CdCu2Se2
_cell_length_a 3.7622
_cell_length_b 3.7622
_cell_length_c 13.7084
_cell_angle_alpha 90.00
_cell_angle_beta 90.00
_cell_angle_gamma 90.00
_space_group_name_H-M_alt 'I 4/m m m'
_space_group_IT_number 139
_space_group_name_Hall '-I 4 2'
loop_
_atom_site_label
_atom_site_type_symbol
_atom_site_fract_x
_atom_site_fract_y
_atom_site_fract_z
_atom_site_occupancy
Cd1 Cd 0.0000 0.0000 0.0000 1
Cu1 Cu 0.0000 0.5000 0.2500 1
Se1 Se 0.0000 0.0000 0.3700 1
# Excess energy over the best structure of this formula in the dataset: 106 meV/atom



Number 1: uncorrected energy -2.923 eV/atom, raw formation energy 0.072 eV per atom. Number 2: uncorrected energy -3.010 eV/atom, raw formation energy -0.015 eV per atom. Number 3: uncorrected energy -3.019 eV/atom, raw formation energy -0.024 eV per atom. Number 4: uncorrected energy -3.315 eV/atom, raw formation energy -0.100 eV per atom.